Entry 1:
# La2NiAg | Alexandria | GGA-PBEsol | relaxed
data_La2NiAg
_space_group_name_H-M_alt 'A m m 2'
_space_group_IT_number 38
_space_group_name_Hall 'A 2 -2'
_cell_length_a 4.600
_cell_length_b 3.928
_cell_length_c 10.915
_cell_angle_alpha 90.00
_cell_angle_beta 90.00
_cell_angle_gamma 90.00
loop_
_atom_site_label
_atom_site_type_symbol
_atom_site_fract_x
_atom_site_fract_y
_atom_site_fract_z
La1 La 0.000 0.000 0.000
La2 La 0.500 0.000 0.278
Ni1 Ni 0.500 0.000 0.565
Ag1 Ag 0.000 0.000 0.712
# * calculated volume: 24.65 Å³/atom
# * crystal system: orthorhombic
# * DOS at the Fermi energy: 0.9929 states/eV per atom
# * size of the total moment: 0.0 μB/f.u.
# * E: -5.240 eV per atom

Entry 2:
# La2Ni2Ag | Alexandria | GGA-PBEsol | relaxed
data_La2Ni2Ag
_space_group_name_H-M_alt 'I 4/m m m'
_space_group_IT_number 139
_space_group_name_Hall '-I 4 2'
_cell_length_a 5.342
_cell_length_b 5.342
_cell_length_c 7.574
_cell_angle_alpha 90.00
_cell_angle_beta 90.00
_cell_angle_gamma 90.00
loop_
_atom_site_label
_atom_site_type_symbol
_atom_site_fract_x
_atom_site_fract_y
_atom_site_fract_z
La1 La 0.000 0.500 0.250
Ni1 Ni 0.000 0.000 0.153
Ag1 Ag 0.000 0.000 0.500
# * excess energy over the best structure of this formula in the dataset: 0.55 eV per formula unit
# * calculated volume: 21.62 Å³/atom
# * crystal system: tetragonal
# * DOS at the Fermi energy: 0.5209 states/eV per atom
# * size of the total moment: 0.0 μB/f.u.
# * E: -5.447 eV per atom

Taking the records one at a time from the top gives ΔH_f (0 K) values of -0.20; -0.18 eV per atom.